[1]
{
  "formula": "Nd2Zn3Ni4",
  "functional": "PBE",
  "state": "optimized geometry",
  "ef_ev_per_atom": -0.32,
  "crystal_system": "orthorhombic",
  "lattice_angstrom": [[-1.486, 4.227, 2.950], [-6.628, -0.560, -2.537], [-1.103, -6.861, 4.398]],
  "species": ["Ni", "Ni", "Zn", "Zn", "Zn", "Nd", "Ni", "Nd", "Zn", "Zn", "Ni", "Ni", "Ni", "Ni", "Zn", "Ni", "Nd", "Nd"],
  "frac_coords": [[0.668, 0.509, 0.337], [0.679, 0.750, 0.858], [0.518, 0.750, 0.536], [0.482, 0.250, 0.464], [0.500, 0.500, 0.000], [0.110, 0.581, 0.220], [0.821, 0.250, 0.142], [0.890, 0.419, 0.780], [0.018, 0.750, 0.536], [0.000, 0.000, 0.000], [0.832, 0.009, 0.663], [0.332, 0.491, 0.663], [0.168, 0.991, 0.337], [0.321, 0.250, 0.142], [0.982, 0.250, 0.464], [0.179, 0.750, 0.858], [0.390, 0.081, 0.780], [0.610, 0.919, 0.220]]
}

---

[2]
{
  "formula": "Nd2Zn12Ni5",
  "functional": "PBE",
  "state": "optimized geometry",
  "ef_ev_per_atom": -0.29,
  "crystal_system": "trigonal",
  "lattice_angstrom": [[-0.278, 5.982, -2.919], [-4.981, 2.374, 3.734], [3.871, 3.125, 4.431]],
  "species": ["Zn", "Zn", "Zn", "Ni", "Zn", "Zn", "Zn", "Zn", "Ni", "Nd", "Ni", "Ni", "Zn", "Zn", "Zn", "Ni", "Nd", "Zn", "Zn"],
  "frac_coords": [[0.137, 0.658, 0.658], [0.658, 0.137, 0.658], [0.716, 0.000, 0.284], [0.102, 0.102, 0.102], [0.000, 0.716, 0.284], [0.658, 0.658, 0.137], [0.342, 0.863, 0.342], [0.000, 0.284, 0.716], [0.898, 0.898, 0.898], [0.336, 0.336, 0.336], [0.000, 0.000, 0.500], [0.500, 0.000, 0.000], [0.863, 0.342, 0.342], [0.284, 0.716, 0.000], [0.284, 0.000, 0.716], [0.000, 0.500, 0.000], [0.664, 0.664, 0.664], [0.342, 0.342, 0.863], [0.716, 0.284, 0.000]]
}

---

[3]
{
  "formula": "NdZn10Ni2",
  "functional": "PBE",
  "state": "optimized geometry",
  "ef_ev_per_atom": -0.23,
  "crystal_system": "orthorhombic",
  "lattice_angstrom": [[5.012, 0.000, 0.000], [2.506, 6.342, 0.000], [2.506, 0.000, 6.316]],
  "species": ["Nd", "Zn", "Ni", "Zn", "Zn", "Zn", "Ni", "Zn", "Zn", "Zn", "Zn", "Zn", "Zn"],
  "frac_coords": [[0.000, 0.000, 0.000], [0.349, 0.636, 0.667], [0.000, 0.500, 0.000], [0.722, 0.769, 0.787], [0.015, 0.636, 0.333], [0.985, 0.364, 0.667], [0.500, 0.500, 0.000], [0.651, 0.364, 0.333], [0.500, 0.000, 0.500], [0.509, 0.769, 0.213], [0.491, 0.231, 0.787], [0.278, 0.231, 0.213], [0.000, 0.000, 0.500]]
}

---

[4]
{
  "formula": "NdZn2Ni3",
  "functional": "PBE",
  "state": "optimized geometry",
  "ef_ev_per_atom": -0.26,
  "crystal_system": "orthorhombic",
  "lattice_angstrom": [[5.208, 0.000, 0.000], [0.000, 6.018, 0.882], [0.000, 0.302, 6.074]],
  "species": ["Zn", "Ni", "Ni", "Ni", "Nd", "Zn", "Zn", "Nd", "Ni", "Ni", "Zn", "Ni"],
  "frac_coords": [[0.500, 0.779, 0.779], [0.250, 0.139, 0.570], [0.750, 0.570, 0.139], [0.750, 0.963, 0.037], [0.250, 0.680, 0.320], [0.500, 0.221, 0.221], [0.000, 0.221, 0.221], [0.750, 0.320, 0.680], [0.250, 0.037, 0.963], [0.750, 0.861, 0.430], [0.000, 0.779, 0.779], [0.250, 0.430, 0.861]]
}

---

These records have N(E_F) values of 4.32, 9.90, 5.97, 4.03 states/eV/f.u., in the order they appear.